1.
TmScIr | GGA-PBE | relaxed

abc: 7.1012 8.8125 8.3614
angles: 121.80 115.13 90.00
Fractional coordinates of all 18 atoms:
1 Ir 0.7537 0.7504 0.0007
2 Ir 0.7530 0.2496 0.9993
3 Ir 0.0865 0.3338 0.6666
4 Ir 0.4198 0.6662 0.3334
5 Ir 0.4198 0.1672 0.3334
6 Ir 0.0865 0.8328 0.6666
7 Tm 0.7538 0.5437 0.5874
8 Tm 0.1665 0.9566 0.4132
9 Tm 0.3407 0.7503 0.0006
10 Tm 0.7533 0.0434 0.5868
11 Tm 0.3401 0.2497 0.9994
12 Tm 0.1663 0.4563 0.4126
13 Sc 0.4993 0.8727 0.7461
14 Sc 0.0074 0.0000 0.0000
15 Sc 0.0074 0.5000 0.0000
16 Sc 0.7532 0.6266 0.2539
17 Sc 0.4993 0.3734 0.7461
18 Sc 0.7532 0.1273 0.2539

Properties
- Polymorph energy (0 for the lowest one): 0.0 kJ/mol of atoms
- Volume: 21.40 A^3/atom
- Energy of formation from the pure elements: -0.80 eV/atom

=====

2.
TmSc3Ir2 | GGA-PBE | relaxed

abc: 4.3109 6.9013 8.3931
angles: 90.00 90.00 90.00
Fractional coordinates of all 12 atoms:
1 Ir 0.5000 0.2480 0.1444
2 Ir 0.0000 0.2471 0.6479
3 Ir 0.0000 0.7471 0.3521
4 Ir 0.5000 0.7480 0.8556
5 Sc 0.0000 0.4854 0.9152
6 Sc 0.5000 0.1447 0.8287
7 Sc 0.0000 0.8576 0.6863
8 Sc 0.0000 0.9854 0.0848
9 Sc 0.5000 0.6447 0.1713
10 Sc 0.0000 0.3576 0.3137
11 Tm 0.5000 0.0171 0.4216
12 Tm 0.5000 0.5171 0.5784

Properties
- Volume: 20.81 A^3/atom
- Energy of formation from the pure elements: -0.80 eV/atom

=====

3.
TmSc2Ir2 | GGA-PBE | relaxed

abc: 4.6052 4.6052 5.6671
angles: 89.99 89.99 59.99
Fractional coordinates of all 5 atoms:
1 Tm 0.5000 0.0000 0.0000
2 Ir 0.8333 0.3333 0.1757
3 Ir 0.1667 0.6667 0.8243
4 Sc 0.1666 0.6666 0.3435
5 Sc 0.8334 0.3334 0.6565

Properties
- Volume: 20.81 A^3/atom
- Energy of formation from the pure elements: -0.84 eV/atom

=====

4.
TmSc3Ir4 | GGA-PBE | relaxed

abc: 4.5057 6.8775 9.0115
angles: 90.00 90.00 90.00
Fractional coordinates of all 16 atoms:
1 Ir 0.5000 0.7581 0.0000
2 Ir 0.9999 0.7581 0.2500
3 Ir 0.5000 0.7581 0.5000
4 Ir 0.9999 0.2419 0.2500
5 Ir 0.0001 0.7581 0.7500
6 Ir 0.5000 0.2419 0.5000
7 Ir 0.0001 0.2419 0.7500
8 Ir 0.5000 0.2419 0.0000
9 Sc 0.4999 0.5000 0.2500
10 Sc 0.4999 0.0000 0.2500
11 Sc 0.5001 0.0000 0.7500
12 Sc 0.0000 0.0000 0.5000
13 Sc 0.5001 0.5000 0.7500
14 Sc 0.0000 0.0000 0.0000
15 Tm 0.0000 0.5000 0.0000
16 Tm 0.0000 0.5000 0.5000

Properties
- Volume: 17.45 A^3/atom
- Energy of formation from the pure elements: -0.98 eV/atom

=====

Please write out number 4 again, unchanged.
TmSc3Ir4 | GGA-PBE | relaxed

abc: 4.5057 6.8775 9.0115
angles: 90.00 90.00 90.00
Fractional coordinates of all 16 atoms:
1 Ir 0.5000 0.7581 0.0000
2 Ir 0.9999 0.7581 0.2500
3 Ir 0.5000 0.7581 0.5000
4 Ir 0.9999 0.2419 0.2500
5 Ir 0.0001 0.7581 0.7500
6 Ir 0.5000 0.2419 0.5000
7 Ir 0.0001 0.2419 0.7500
8 Ir 0.5000 0.2419 0.0000
9 Sc 0.4999 0.5000 0.2500
10 Sc 0.4999 0.0000 0.2500
11 Sc 0.5001 0.0000 0.7500
12 Sc 0.0000 0.0000 0.5000
13 Sc 0.5001 0.5000 0.7500
14 Sc 0.0000 0.0000 0.0000
15 Tm 0.0000 0.5000 0.0000
16 Tm 0.0000 0.5000 0.5000

Properties
- Volume: 17.45 A^3/atom
- Energy of formation from the pure elements: -0.98 eV/atom

=====

The lowest volume belongs to which entry? TmSc3Ir4